Compound: Sr11Ga4Sn3
Source: the Alexandria database
Functional: PBE
Structure: optimized geometry

```
data_Sr11Ga4Sn3
_cell_length_a 12.219
_cell_length_b 12.219
_cell_length_c 12.219
_cell_angle_alpha 60.00
_cell_angle_beta 60.00
_cell_angle_gamma 60.00
_space_group_name_H-M_alt 'P 1'
_space_group_IT_number 1
loop_
_space_group_symop_operation_xyz
'x,y,z'
loop_
_atom_site_label
_atom_site_fract_x
_atom_site_fract_y
_atom_site_fract_z
Sr1 0.869 0.869 0.392
Sr2 0.608 0.131 0.131
Sr3 0.869 0.392 0.869
Sr4 0.131 0.131 0.131
Sr5 0.392 0.869 0.869
Sr6 0.869 0.869 0.869
Sr7 0.165 0.835 0.500
Sr8 0.835 0.500 0.500
Sr9 0.131 0.131 0.608
Sr10 0.835 0.165 0.500
Sr11 0.165 0.500 0.500
Sr12 0.131 0.608 0.131
Sr13 0.500 0.500 0.165
Sr14 0.500 0.165 0.835
Sr15 0.500 0.835 0.165
Sr16 0.500 0.500 0.500
Sr17 0.500 0.500 0.835
Sr18 0.500 0.165 0.500
Sr19 0.165 0.500 0.835
Sr20 0.000 0.000 0.000
Sr21 0.500 0.835 0.500
Sr22 0.835 0.500 0.165
Ga1 0.694 0.919 0.694
Ga2 0.694 0.694 0.919
Ga3 0.694 0.694 0.694
Ga4 0.306 0.081 0.306
Ga5 0.919 0.694 0.694
Ga6 0.306 0.306 0.081
Ga7 0.081 0.306 0.306
Ga8 0.306 0.306 0.306
Sn1 0.783 0.217 0.783
Sn2 0.783 0.217 0.217
Sn3 0.217 0.783 0.217
Sn4 0.217 0.783 0.783
Sn5 0.783 0.783 0.217
Sn6 0.217 0.217 0.783
```

- crystal system = cubic
- uncorrected energy (eV per formula unit) = -51.69

=====

Compound: Zr8N2O3
Source: the Alexandria database
Functional: PBE
Structure: optimized geometry

```
data_Zr8N2O3
_cell_length_a 5.691
_cell_length_b 6.220
_cell_length_c 6.220
_cell_angle_alpha 63.29
_cell_angle_beta 89.76
_cell_angle_gamma 89.76
_space_group_name_H-M_alt 'P 1'
_space_group_IT_number 1
loop_
_space_group_symop_operation_xyz
'x,y,z'
loop_
_atom_site_label
_atom_site_fract_x
_atom_site_fract_y
_atom_site_fract_z
Zr1 0.830 0.371 0.371
Zr2 0.170 0.629 0.629
Zr3 0.824 0.869 0.869
Zr4 0.176 0.131 0.131
Zr5 0.659 0.377 0.880
Zr6 0.659 0.880 0.377
Zr7 0.341 0.120 0.623
Zr8 0.341 0.623 0.120
N1 0.503 0.743 0.743
N2 0.497 0.257 0.257
O1 0.500 0.000 0.000
O2 0.000 0.754 0.246
O3 0.000 0.246 0.754
```

- E_form (uncorrected) (eV/atom) = -1.7236
- crystal system = monoclinic

=====

Compound: Pr2GaCuPd6
Source: the Alexandria database
Functional: PBE
Structure: optimized geometry

```
data_Pr2GaCuPd6
_cell_length_a 6.663
_cell_length_b 6.663
_cell_length_c 6.663
_cell_angle_alpha 60.00
_cell_angle_beta 60.00
_cell_angle_gamma 90.00
_space_group_name_H-M_alt 'P 1'
_space_group_IT_number 1
loop_
_space_group_symop_operation_xyz
'x,y,z'
loop_
_atom_site_label
_atom_site_fract_x
_atom_site_fract_y
_atom_site_fract_z
Pr1 0.250 0.750 0.500
Pr2 0.750 0.250 0.500
Ga1 0.500 0.500 0.000
Cu1 0.000 0.000 0.000
Pd1 0.251 0.749 0.000
Pd2 0.749 0.749 0.000
Pd3 0.251 0.251 0.498
Pd4 0.749 0.251 0.000
Pd5 0.251 0.251 0.000
Pd6 0.749 0.749 0.502
```

- crystal system = cubic
- uncorrected energy (eV per formula unit) = -51.04

=====

Compound: Pr3ThMg2
Source: the Alexandria database
Functional: PBE
Structure: optimized geometry

```
data_Pr3ThMg2
_cell_length_a 3.697
_cell_length_b 3.697
_cell_length_c 13.732
_cell_angle_alpha 90.00
_cell_angle_beta 90.00
_cell_angle_gamma 90.00
_space_group_name_H-M_alt 'P 1'
_space_group_IT_number 1
loop_
_space_group_symop_operation_xyz
'x,y,z'
loop_
_atom_site_label
_atom_site_fract_x
_atom_site_fract_y
_atom_site_fract_z
Pr1 0.000 0.000 0.000
Pr2 0.000 0.000 0.676
Pr3 0.000 0.000 0.324
Th1 0.500 0.500 0.500
Mg1 0.500 0.500 0.840
Mg2 0.500 0.500 0.160
```

- crystal system = tetragonal
- uncorrected energy (eV per formula unit) = -25.30

=====

Compound: La6Ni2PtCl3
Source: the Alexandria database
Functional: PBE
Structure: optimized geometry

```
data_La6Ni2PtCl3
_cell_length_a 7.256
_cell_length_b 7.256
_cell_length_c 7.927
_cell_angle_alpha 98.52
_cell_angle_beta 98.52
_cell_angle_gamma 120.48
_space_group_name_H-M_alt 'P 1'
_space_group_IT_number 1
loop_
_space_group_symop_operation_xyz
'x,y,z'
loop_
_atom_site_label
_atom_site_fract_x
_atom_site_fract_y
_atom_site_fract_z
La1 0.931 0.589 0.795
La2 0.726 0.726 0.205
La3 0.069 0.411 0.205
La4 0.589 0.931 0.795
La5 0.274 0.274 0.795
La6 0.411 0.069 0.205
Ni1 0.333 0.667 0.000
Ni2 0.667 0.333 0.000
Pt1 0.000 0.000 0.000
Cl1 0.171 0.829 0.500
Cl2 0.829 0.171 0.500
Cl3 0.500 0.500 0.500
```

- E_form (uncorrected) (eV/atom) = -1.1283
- crystal system = monoclinic

=====

Compound: Rb2Cd3Bi5
Source: the Alexandria database
Functional: PBE
Structure: optimized geometry

```
data_Rb2Cd3Bi5
_cell_length_a 7.458
_cell_length_b 10.653
_cell_length_c 10.653
_cell_angle_alpha 71.31
_cell_angle_beta 69.51
_cell_angle_gamma 69.51
_space_group_name_H-M_alt 'P 1'
_space_group_IT_number 1
loop_
_space_group_symop_operation_xyz
'x,y,z'
loop_
_atom_site_label
_atom_site_fract_x
_atom_site_fract_y
_atom_site_fract_z
Rb1 0.130 0.631 0.109
Rb2 0.630 0.109 0.631
Rb3 0.870 0.369 0.891
Rb4 0.370 0.891 0.369
Cd1 0.384 0.479 0.752
Cd2 0.884 0.752 0.479
Cd3 0.616 0.521 0.248
Cd4 0.116 0.248 0.521
Cd5 0.250 0.000 0.000
Cd6 0.750 0.000 0.000
Bi1 0.379 0.245 0.997
Bi2 0.879 0.997 0.245
Bi3 0.621 0.755 0.003
Bi4 0.121 0.003 0.755
Bi5 0.518 0.732 0.732
Bi6 0.482 0.268 0.268
Bi7 0.750 0.500 0.500
Bi8 0.250 0.500 0.500
Bi9 0.982 0.268 0.268
Bi10 0.018 0.732 0.732
```

- crystal system = orthorhombic
- uncorrected energy (eV per formula unit) = -25.68

=====

Compound: CaLa3Tc
Source: the Alexandria database
Functional: PBE
Structure: optimized geometry

```
data_CaLa3Tc
_cell_length_a 19.481
_cell_length_b 8.898
_cell_length_c 8.898
_cell_angle_alpha 140.99
_cell_angle_beta 152.72
_cell_angle_gamma 27.28
_space_group_name_H-M_alt 'P 1'
_space_group_IT_number 1
loop_
_space_group_symop_operation_xyz
'x,y,z'
loop_
_atom_site_label
_atom_site_fract_x
_atom_site_fract_y
_atom_site_fract_z
Ca1 0.714 0.865 0.135
Ca2 0.286 0.135 0.865
Tc1 0.113 0.734 0.266
Tc2 0.887 0.266 0.734
La1 0.215 0.817 0.183
La2 0.785 0.183 0.817
La3 0.888 0.422 0.578
La4 0.112 0.578 0.422
La5 0.459 0.740 0.260
La6 0.541 0.260 0.740
```

- crystal system = monoclinic
- uncorrected energy (eV per formula unit) = -26.84

=====

Compound: As2SeIBr
Source: the Alexandria database
Functional: PBE
Structure: optimized geometry

```
data_As2SeIBr
_cell_length_a 5.549
_cell_length_b 5.549
_cell_length_c 5.493
_cell_angle_alpha 90.00
_cell_angle_beta 90.00
_cell_angle_gamma 90.00
_space_group_name_H-M_alt 'P 1'
_space_group_IT_number 1
loop_
_space_group_symop_operation_xyz
'x,y,z'
loop_
_atom_site_label
_atom_site_fract_x
_atom_site_fract_y
_atom_site_fract_z
I1 0.000 0.000 0.000
As1 0.000 0.500 0.000
As2 0.500 0.000 0.000
Se1 0.500 0.500 0.500
Br1 0.000 0.000 0.500
```

- E_form (uncorrected) (eV/atom) = 1.1742
- crystal system = tetragonal

=====

Compound: Ni2BiTe2
Source: the Alexandria database
Functional: PBE
Structure: optimized geometry

```
data_Ni2BiTe2
_cell_length_a 4.392
_cell_length_b 4.392
_cell_length_c 6.391
_cell_angle_alpha 69.91
_cell_angle_beta 69.91
_cell_angle_gamma 90.00
_space_group_name_H-M_alt 'P 1'
_space_group_IT_number 1
loop_
_space_group_symop_operation_xyz
'x,y,z'
loop_
_atom_site_label
_atom_site_fract_x
_atom_site_fract_y
_atom_site_fract_z
Ni1 0.387 0.387 0.227
Ni2 0.613 0.613 0.773
Te1 0.750 0.250 0.500
Te2 0.250 0.750 0.500
Bi1 0.000 0.000 0.000
```

- E_form (uncorrected) (eV/atom) = 0.2615
- crystal system = tetragonal

=====

Compound: Li2CaSm
Source: the Alexandria database
Functional: PBE
Structure: optimized geometry

```
data_Li2CaSm
_cell_length_a 5.443
_cell_length_b 5.443
_cell_length_c 5.443
_cell_angle_alpha 60.00
_cell_angle_beta 60.00
_cell_angle_gamma 60.00
_space_group_name_H-M_alt 'P 1'
_space_group_IT_number 1
loop_
_space_group_symop_operation_xyz
'x,y,z'
loop_
_atom_site_label
_atom_site_fract_x
_atom_site_fract_y
_atom_site_fract_z
Ca1 0.500 0.500 0.500
Sm1 0.000 0.000 0.000
Li1 0.250 0.250 0.250
Li2 0.750 0.750 0.750
```

- crystal system = cubic
- uncorrected energy (eV per formula unit) = -10.06

=====

Compound: AlRhBr
Source: the Alexandria database
Functional: PBE
Structure: optimized geometry

```
data_AlRhBr
_cell_length_a 4.400
_cell_length_b 4.400
_cell_length_c 3.284
_cell_angle_alpha 90.00
_cell_angle_beta 90.00
_cell_angle_gamma 120.00
_space_group_name_H-M_alt 'P 1'
_space_group_IT_number 1
loop_
_space_group_symop_operation_xyz
'x,y,z'
loop_
_atom_site_label
_atom_site_fract_x
_atom_site_fract_y
_atom_site_fract_z
Rh1 0.667 0.333 0.687
Al1 0.000 0.000 0.875
Br1 0.333 0.667 0.438
```

- E_form (uncorrected) (eV/atom) = 0.1323
- crystal system = trigonal

=====

Compound: Pr3Ho3Tm2
Source: the Alexandria database
Functional: PBE
Structure: optimized geometry

```
data_Pr3Ho3Tm2
_cell_length_a 5.062
_cell_length_b 5.086
_cell_length_c 10.759
_cell_angle_alpha 103.67
_cell_angle_beta 103.61
_cell_angle_gamma 90.00
_space_group_name_H-M_alt 'P 1'
_space_group_IT_number 1
loop_
_space_group_symop_operation_xyz
'x,y,z'
loop_
_atom_site_label
_atom_site_fract_x
_atom_site_fract_y
_atom_site_fract_z
Pr1 0.126 0.126 0.252
Pr2 0.000 0.500 0.000
Pr3 0.874 0.874 0.748
Ho1 0.628 0.628 0.255
Ho2 0.372 0.372 0.745
Ho3 0.500 0.000 0.000
Tm1 0.751 0.251 0.501
Tm2 0.249 0.749 0.499
```

- crystal system = orthorhombic
- uncorrected energy (eV per formula unit) = -36.80